(1)
# Mn2CuP | the Alexandria database | PBE-GGA | optimized geometry
# - Formation enthalpy at 0 K: -0.07 eV/atom
# - Symmetry: I4/mmm (139)
# - Crystal system: tetragonal
data_Mn2CuP
_space_group_name_H-M_alt 'P 1'
_space_group_IT_number 1
_cell_length_a 4.360
_cell_length_b 4.360
_cell_length_c 4.360
_cell_angle_alpha 130.31
_cell_angle_beta 130.31
_cell_angle_gamma 72.90
loop_
_space_group_symop_operation_xyz
'x,y,z'
loop_
_atom_site_label
_atom_site_type_symbol
_atom_site_fract_x
_atom_site_fract_y
_atom_site_fract_z
Cu1 Cu 0.750 0.250 0.500
Mn1 Mn 0.000 0.000 0.000
Mn2 Mn 0.500 0.500 0.000
P1 P 0.250 0.750 0.500

=====

(2)
# Th2NpP2Rh7 | the Alexandria database | PBE-GGA | optimized geometry
# - Formation enthalpy at 0 K: -0.88 eV/atom
# - Symmetry: C2/m (12)
# - Crystal system: monoclinic
data_Th2NpP2Rh7
_space_group_name_H-M_alt 'P 1'
_space_group_IT_number 1
_cell_length_a 3.992
_cell_length_b 3.992
_cell_length_c 13.627
_cell_angle_alpha 84.49
_cell_angle_beta 84.49
_cell_angle_gamma 89.63
loop_
_space_group_symop_operation_xyz
'x,y,z'
loop_
_atom_site_label
_atom_site_type_symbol
_atom_site_fract_x
_atom_site_fract_y
_atom_site_fract_z
Th1 Th 0.894 0.894 0.350
Th2 Th 0.106 0.106 0.650
Np1 Np 0.000 0.000 0.000
P1 P 0.581 0.581 0.751
P2 P 0.419 0.419 0.249
Rh1 Rh 0.500 0.500 0.000
Rh2 Rh 0.378 0.378 0.421
Rh3 Rh 0.622 0.622 0.579
Rh4 Rh 0.948 0.449 0.159
Rh5 Rh 0.449 0.948 0.159
Rh6 Rh 0.551 0.052 0.841
Rh7 Rh 0.052 0.551 0.841

=====

(3)
# LiSiCl | the Alexandria database | PBE-GGA | optimized geometry
# - Symmetry: Cm (8)
# - Uncorrected formation energy: -22.39 kcal/mol of atoms
# - Crystal system: monoclinic
# - Relative energy among the computed polymorphs: 0 meV/atom
data_LiSiCl
_space_group_name_H-M_alt 'P 1'
_space_group_IT_number 1
_cell_length_a 3.866
_cell_length_b 3.866
_cell_length_c 10.388
_cell_angle_alpha 100.76
_cell_angle_beta 100.76
_cell_angle_gamma 59.99
loop_
_space_group_symop_operation_xyz
'x,y,z'
loop_
_atom_site_label
_atom_site_type_symbol
_atom_site_fract_x
_atom_site_fract_y
_atom_site_fract_z
Si1 Si 0.332 0.332 0.689
Si2 Si 0.644 0.644 0.626
Li1 Li 0.555 0.555 0.352
Li2 Li 0.114 0.114 0.034
Cl1 Cl 0.194 0.194 0.268
Cl2 Cl 0.421 0.421 0.954

=====

(4)
# CsSnBiPt2 | the Alexandria database | PBE-GGA | optimized geometry
# - Formation enthalpy at 0 K: -0.34 eV/atom
# - Symmetry: P2_1/m (11)
# - Crystal system: monoclinic
data_CsSnBiPt2
_space_group_name_H-M_alt 'P 1'
_space_group_IT_number 1
_cell_length_a 4.692
_cell_length_b 7.359
_cell_length_c 10.137
_cell_angle_alpha 103.03
_cell_angle_beta 90.00
_cell_angle_gamma 90.00
loop_
_space_group_symop_operation_xyz
'x,y,z'
loop_
_atom_site_label
_atom_site_type_symbol
_atom_site_fract_x
_atom_site_fract_y
_atom_site_fract_z
Cs1 Cs 0.250 0.952 0.227
Cs2 Cs 0.750 0.048 0.773
Sn1 Sn 0.250 0.352 0.043
Sn2 Sn 0.750 0.648 0.957
Bi1 Bi 0.250 0.356 0.563
Bi2 Bi 0.750 0.644 0.437
Pt1 Pt 0.750 0.509 0.676
Pt2 Pt 0.250 0.491 0.324
Pt3 Pt 0.750 0.461 0.162
Pt4 Pt 0.250 0.539 0.838

=====

(5)
# NaPaBr6 | the Alexandria database | PBE-GGA | optimized geometry
# - Symmetry: C2/m (12)
# - Uncorrected formation energy: -33.95 kcal/mol of atoms
# - Crystal system: monoclinic
# - Relative energy among the computed polymorphs: 0 meV/atom
data_NaPaBr6
_space_group_name_H-M_alt 'P 1'
_space_group_IT_number 1
_cell_length_a 7.190
_cell_length_b 8.491
_cell_length_c 7.520
_cell_angle_alpha 106.58
_cell_angle_beta 98.53
_cell_angle_gamma 125.74
loop_
_space_group_symop_operation_xyz
'x,y,z'
loop_
_atom_site_label
_atom_site_type_symbol
_atom_site_fract_x
_atom_site_fract_y
_atom_site_fract_z
Na1 Na 0.000 0.000 0.000
Pa1 Pa 0.000 0.500 0.000
Br1 Br 0.860 0.128 0.708
Br2 Br 0.152 0.421 0.292
Br3 Br 0.848 0.579 0.708
Br4 Br 0.140 0.872 0.292
Br5 Br 0.464 0.735 0.000
Br6 Br 0.536 0.265 0.000

=====

(6)
# AcTb4PrSe8 | the Alexandria database | PBE-GGA | optimized geometry
# - Symmetry: R3m (160)
# - Uncorrected formation energy: -39.87 kcal/mol of atoms
# - Crystal system: trigonal
data_AcTb4PrSe8
_space_group_name_H-M_alt 'P 1'
_space_group_IT_number 1
_cell_length_a 8.584
_cell_length_b 8.584
_cell_length_c 8.660
_cell_angle_alpha 60.29
_cell_angle_beta 60.29
_cell_angle_gamma 60.00
loop_
_space_group_symop_operation_xyz
'x,y,z'
loop_
_atom_site_label
_atom_site_type_symbol
_atom_site_fract_x
_atom_site_fract_y
_atom_site_fract_z
Ac1 Ac 0.374 0.374 0.879
Tb1 Tb 0.626 0.626 0.121
Tb2 Tb 0.998 0.508 0.497
Tb3 Tb 0.508 0.998 0.497
Tb4 Tb 0.998 0.998 0.497
Pr1 Pr 0.997 0.997 0.008
Se1 Se 0.241 0.791 0.726
Se2 Se 0.791 0.241 0.726
Se3 Se 0.241 0.241 0.726
Se4 Se 0.235 0.235 0.296
Se5 Se 0.749 0.235 0.266
Se6 Se 0.235 0.749 0.266
Se7 Se 0.749 0.749 0.266
Se8 Se 0.757 0.757 0.728

=====

What are the DFT total energy values for these records? In order: -7.027, -8.387, -4.032, -4.508, -4.079, -5.678 eV per atom.
What are the spin magnetization values for these records? In order: 4.96, 2.39, 0.00, 0.00, 0.00, 0.01 μB/f.u..